(1)
Material: NpSi4Ni2Ir
Method: DFT, PBE
State: relaxed

Cell and atoms, written as POSCAR:
```
NpSi4Ni2Ir
1.0
-3.0633 2.4242 0.5529
-1.0831 1.0078 3.6575
3.9328 7.9275 1.1081
Ni Si Np Ir
2 4 1 1
Cartesian
-0.3481 8.2797 3.9993
0.1346 3.0798 1.3192
-1.6944 3.6534 2.7475
1.4809 7.7061 2.5710
-2.2242 5.8853 4.1036
2.0107 5.4743 1.2149
0.0000 0.0000 0.0000
-0.1068 5.6798 2.6593
```

**Formation energy from raw total energies**: -0.355 eV per atom
**Total moment**: 3.7 μB/f.u.
**SG**: R-3m
**Mass density**: 9.4 Mg/m³

(2)
Material: Np2Si6NiIr
Method: DFT, PBE
State: relaxed

Cell and atoms, written as POSCAR:
```
Np2Si6NiIr
1.0
-1.9259 -4.5688 3.0160
3.7394 -3.3117 2.9545
-0.8488 4.3977 11.7033
Ir Np Si Ni
2 4 12 2
Cartesian
0.1469 -0.1199 11.0790
0.8178 -3.3629 6.5948
1.2591 -5.2005 9.6762
0.5999 -2.0142 14.0821
-0.2943 1.7177 7.9976
0.3649 -1.4686 3.5918
2.4685 -3.0281 4.8809
-0.8586 -3.6541 8.3901
1.3388 -5.7081 6.6500
-1.5038 -0.4547 12.7930
-1.5321 -0.5732 9.3202
1.8233 0.1713 9.2837
0.2821 -0.9481 6.6038
1.8194 0.2827 12.7569
0.6826 -2.5347 11.0701
-0.3741 2.2253 11.0238
-0.8546 -3.7655 4.9170
2.4968 -2.9096 8.3537
0.0000 0.0000 0.0000
0.4824 -1.7414 8.8369
```

**Formation energy from raw total energies**: -0.244 eV per atom
**Total moment**: 8.7 μB/f.u.
**SG**: R-3m
**Mass density**: 8.4 Mg/m³

(3)
Material: NpUNiIr
Method: DFT, PBE
State: relaxed

Cell and atoms, written as POSCAR:
```
NpUNiIr
1.0
4.5598 0.0000 0.0000
2.2799 3.9489 0.0000
2.2799 1.3163 3.7231
U Ni Ir Np
1 1 1 1
Cartesian
6.8397 3.9489 2.7923
2.2799 1.3163 0.9308
0.0000 0.0000 0.0000
4.5598 2.6326 1.8615
```

**Formation enthalpy at 0 K**: -432.4 meV per atom
**Total moment**: 4.0 μB/f.u.
**SG**: F-43m
**Mass density**: 18.0 Mg/m³

(4)
Material: NpZnNiIr
Method: DFT, PBE
State: relaxed

Cell and atoms, written as POSCAR:
```
NpZnNiIr
1.0
-1.7909 -4.1364 0.5881
2.4552 -3.2811 1.9671
-1.0660 -1.4424 4.1769
Ir Ni Np Zn
1 1 1 1
Cartesian
-0.3013 -6.6449 5.0491
-0.1004 -2.2150 1.6830
0.0000 0.0000 0.0000
-0.2009 -4.4300 3.3661
```

**Formation enthalpy at 0 K**: -129.5 meV per atom
**Total moment**: 2.9 μB/f.u.
**SG**: F-43m
**Mass density**: 13.8 Mg/m³